Zn2ReGeAu | GGA-PBE | relaxed

POSCAR file:
```
Zn2ReGeAu
1.0
4.720 0.000 0.000
0.000 4.720 0.000
0.000 0.000 5.221
Zn Re Ge Au
2 1 1 1
direct
0.000 0.500 0.000
0.500 0.000 0.000
0.000 0.000 0.500
0.500 0.500 0.500
0.000 0.000 0.000
```

Calculated values
As for the space group: P4/mmm, No. 123. Its size of the total moment is 2.78 Bohr magnetons per cell. Its calculated formation energy is 1197 meV per atom.

---

GeRh3Au | GGA-PBE | relaxed

POSCAR file:
```
GeRh3Au
1.0
4.854 0.000 0.000
0.000 4.854 0.000
0.000 0.000 4.854
Ge Rh Au
1 3 1
direct
0.000 0.000 0.000
0.000 0.500 0.500
0.500 0.000 0.500
0.500 0.500 0.000
0.500 0.500 0.500
```

Calculated values
As for the space group: Pm-3m, No. 221. Its size of the total moment is 0.30 Bohr magnetons per cell. The calculation puts the excess energy over the best structure of this formula in the dataset at 0.9765 eV/atom. Its calculated formation energy is 1590 meV per atom.

---

GeRh2Au2 | GGA-PBE | relaxed

POSCAR file:
```
GeRh2Au2
1.0
6.246 0.000 0.000
0.000 6.246 0.000
0.000 0.000 4.382
Ge Rh Au
2 4 4
direct
0.000 0.000 0.000
0.500 0.500 0.000
0.147 0.353 0.000
0.353 0.853 0.000
0.647 0.147 0.000
0.853 0.647 0.000
0.163 0.663 0.500
0.337 0.163 0.500
0.663 0.837 0.500
0.837 0.337 0.500
```

Calculated values
As for the space group: P4/mbm, No. 127. Its size of the total moment is 0.00 Bohr magnetons per cell. Its calculated formation energy is -86 meV per atom.

---

Q: Which of these has the lowest size of the total moment?
A: GeRh2Au2

---

Q: Which value of size of the total moment does entry 2 give?
A: 0.30 Bohr magnetons per cell

---

Q: calculated formation energy of number 2 (GeRh3Au)?
A: 1590 meV per atom